DFT (PBE) results for crystalline KNaPr at its relaxed geometry.

Calculated values
Fermi-level density of states (states/eV per cell): 5.81
Symmetry: P4/nmm
V (Å³ per atom): 44.77
Electronic total energy (eV per atom): -2.287

Cell and atoms, written as CIF:
```
data_KNaPr
_chemical_formula_sum 'K2 Na2 Pr2'
_space_group_name_H-M_alt 'P 1'
_space_group_IT_number 1
_space_group_name_Hall 'P 1'
_cell_length_a 3.8757
_cell_length_b 3.8757
_cell_length_c 17.8825
_cell_angle_alpha 90.00
_cell_angle_beta 90.00
_cell_angle_gamma 90.00
loop_
_atom_site_label
_atom_site_type_symbol
_atom_site_fract_x
_atom_site_fract_y
_atom_site_fract_z
K1 K 0.0000 0.5000 0.6079
K2 K 0.5000 0.0000 0.3921
Na1 Na 0.5000 0.0000 0.7857
Na2 Na 0.0000 0.5000 0.2143
Pr1 Pr 0.0000 0.5000 0.9324
Pr2 Pr 0.5000 0.0000 0.0676
```